No. 1
Computed, not measured: a relaxed Sm5Y7 crystal at the PBE-GGA level of DFT.

Properties
formation enthalpy at 0 K: 0.0 eV/f.u.
energy relative to the lowest polymorph listed for this composition: 0 meV per atom
total moment: 0.00 μB/cell
density of states at the Fermi level: 17.0 states/eV per cell

The structure in POSCAR format:
```
Sm5Y7
1.0
-1.7761 1.3444 2.8419
-7.5337 -5.8438 0.3500
2.7767 -8.6567 8.1244
Y Sm
7 5
direct
0.6384 0.9728 0.7504
0.9723 0.3050 0.7504
0.5000 0.5000 0.5000
0.0277 0.6950 0.2496
0.3335 0.3340 0.9990
0.3616 0.0272 0.2496
0.6665 0.6660 0.0010
0.6940 0.3618 0.2503
0.1664 0.1668 0.5004
0.0000 0.0000 0.0000
0.8336 0.8332 0.4996
0.3060 0.6382 0.7497
```

No. 2
Computed, not measured: a relaxed Dy3Y2Ho6 crystal at the PBE-GGA level of DFT.

Properties
formation enthalpy at 0 K: 1.6 eV/f.u.
energy relative to the lowest polymorph listed for this composition: 0 meV per atom
total moment: 0.00 μB/cell
density of states at the Fermi level: 28.2 states/eV per cell

The structure in POSCAR format:
```
Dy3Y2Ho6
1.0
-5.3339 -0.0009 -1.8577
-1.0847 -0.8873 -5.4715
-2.8947 -12.7820 -0.2686
Ho Dy Y
6 3 2
direct
0.8179 0.8179 0.5462
0.3643 0.3643 0.9071
0.9090 0.9090 0.2729
0.1821 0.1821 0.4538
0.0910 0.0910 0.7271
0.6357 0.6357 0.0929
0.7263 0.7263 0.8210
0.2737 0.2737 0.1790
0.0000 0.0000 0.0000
0.5453 0.5453 0.3640
0.4547 0.4547 0.6360
```

No. 3
Computed, not measured: a relaxed CeNdCuPb crystal at the PBE-GGA level of DFT.

Properties
formation enthalpy at 0 K: -0.8 eV/f.u.
total moment: 1.97 μB/cell
density of states at the Fermi level: 9.6 states/eV per cell

The structure in POSCAR format:
```
CeNdCuPb
1.0
5.3677 0.0000 0.0000
2.6838 4.6485 0.0000
2.6838 1.5495 4.3827
Ce Cu Nd Pb
1 1 1 1
direct
0.7500 0.7500 0.7500
0.5000 0.5000 0.5000
0.2500 0.2500 0.2500
0.0000 0.0000 0.0000
```

No. 4
Computed, not measured: a relaxed TbTmCd17 crystal at the PBE-GGA level of DFT.

Properties
formation enthalpy at 0 K: -1.7 eV/f.u.
total moment: 0.00 μB/cell
density of states at the Fermi level: 5.7 states/eV per cell

The structure in POSCAR format:
```
TbTmCd17
1.0
-5.4469 5.3618 -0.5061
-3.4602 -1.3337 6.7024
3.4637 5.4555 4.1127
Cd Tm Tb
17 1 1
direct
0.0924 0.0924 0.0924
0.6921 0.9996 0.3101
0.3101 0.6921 0.9996
0.9012 0.9012 0.9012
0.6624 0.6624 0.1184
0.0256 0.0256 0.4706
0.6624 0.1184 0.6624
0.3819 0.7696 0.3819
0.1184 0.6624 0.6624
0.6921 0.3101 0.9996
0.9996 0.6921 0.3101
0.0256 0.4706 0.0256
0.7696 0.3819 0.3819
0.9996 0.3101 0.6921
0.3819 0.3819 0.7696
0.4706 0.0256 0.0256
0.3101 0.9996 0.6921
0.3264 0.3264 0.3264
0.6781 0.6781 0.6781
```